(w)
Compound: Ce2GaH
Source: the Alexandria database
Functional: GGA-PBE
Structure: relaxed

Its crystal system is trigonal.

a = 5.6131 Å, b = 5.6131 Å, c = 8.5331 Å
α = 90.00°, β = 90.00°, γ = 120.00°
Closest atoms and distances in Å follow each position.
Space group P3_121 (No. 152)
Unique sites:
1 Ce 0.1490 0.8323 0.0264  2 H 2.19-2.24
2 Ga 0.0000 0.5116 0.6667  4 H 2.99-3.32, 8 Ce 3.16-3.33
3 H 0.0000 0.4452 0.1667  4 Ce 2.19-2.24

---

(x)
Compound: Ce2GaH
Source: the Alexandria database
Functional: GGA-PBE
Structure: relaxed

Its crystal system is tetragonal.

a = 3.2236 Å, b = 3.2236 Å, c = 7.0428 Å
α = 90.00°, β = 90.00°, γ = 90.00°
Closest atoms and distances in Å follow each position.
Space group P4/mmm (No. 123)
Unique sites:
1 Ce 0.0000 0.0000 0.2000  4 H 2.68, 1 Ce 2.82
2 Ga 0.5000 0.5000 0.5000  8 Ce 3.11, 4 Ga 3.22
3 H 0.5000 0.5000 0.0000  8 Ce 2.68

---

It is (x) that is the least stable of them.

---

(w)
Compound: CeGaH
Source: the Alexandria database
Functional: GGA-PBE
Structure: relaxed

Its crystal system is orthorhombic.

a = 4.2222 Å, b = 11.5479 Å, c = 4.1536 Å
α = 90.00°, β = 90.00°, γ = 90.00°
Closest atoms and distances in Å follow each position.
Space group Cmcm (No. 63)
Unique sites:
1 Ce 0.0000 0.1536 0.2500  4 H 2.37-2.38
2 Ga 0.0000 0.4360 0.2500  2 Ga 2.55
3 H 0.0000 0.2518 0.7500  4 Ce 2.37-2.38

---

(x)
Compound: CeGaH
Source: the Alexandria database
Functional: GGA-PBE
Structure: relaxed

Its crystal system is tetragonal.

a = 3.1088 Å, b = 3.1088 Å, c = 10.8629 Å
α = 90.00°, β = 90.00°, γ = 90.00°
Closest atoms and distances in Å follow each position.
Space group I4mm (No. 107)
Unique sites:
1 Ce 0.0000 0.0000 0.0000  4 H 2.33
2 Ga 0.0000 0.0000 0.7149  5 H 3.10-3.21, 5 Ce 3.10-3.21, 4 Ga 3.11
3 H 0.0000 0.0000 0.4297  4 Ce 2.33

---

It is (x) that is the least stable of them.

---

(w)
Compound: CeGaH
Source: the Alexandria database
Functional: GGA-PBE
Structure: relaxed

Its crystal system is hexagonal.

a = 3.7910 Å, b = 3.7910 Å, c = 4.6003 Å
α = 90.00°, β = 90.00°, γ = 120.00°
Closest atoms and distances in Å follow each position.
Space group P-6m2 (No. 187)
Unique sites:
1 Ce 0.0000 0.0000 0.0000  3 H 2.19
2 Ga 0.6667 0.3333 0.5000  6 Ce 3.18, 6 H 3.18
3 H 0.3333 0.6667 0.0000  3 Ce 2.19

---

(x)
Compound: CeGaH
Source: the Alexandria database
Functional: GGA-PBE
Structure: relaxed

Its crystal system is trigonal.

a = 4.1020 Å, b = 4.1020 Å, c = 22.6120 Å
α = 90.00°, β = 90.00°, γ = 120.00°
Closest atoms and distances in Å follow each position.
Space group R-3m (No. 166, hexagonal axes)
Unique sites:
1 Ce 0.0000 0.0000 0.0991  4 H 2.36-2.47
2 Ga 0.0000 0.0000 0.3469  3 Ga 2.45
3 H 0.0000 0.0000 0.2034  4 Ce 2.36-2.47

---

It is (w) that is the least stable of them.

---

(w)
Compound: CeHfGa2
Source: the Alexandria database
Functional: GGA-PBE
Structure: relaxed

Its crystal system is tetragonal.

a = 4.4842 Å, b = 4.4842 Å, c = 4.1786 Å
α = 90.00°, β = 90.00°, γ = 90.00°
Closest atoms and distances in Å follow each position.
Space group P4/mmm (No. 123)
Unique sites:
1 Ce 0.0000 0.0000 0.0000  8 Ga 3.06, 4 Hf 3.17
2 Hf 0.5000 0.5000 0.0000  8 Ga 3.06, 4 Ce 3.17
3 Ga 0.0000 0.5000 0.5000  4 Hf 3.06, 4 Ce 3.06, 4 Ga 3.17

---

(x)
Compound: CeHfGa2
Source: the Alexandria database
Functional: GGA-PBE
Structure: relaxed

Its crystal system is cubic.

a = 6.9721 Å, b = 6.9721 Å, c = 6.9721 Å
α = 90.00°, β = 90.00°, γ = 90.00°
Closest atoms and distances in Å follow each position.
Space group Fm-3m (No. 225)
Unique sites:
1 Ce 0.0000 0.0000 0.0000  8 Ga 3.02
2 Hf 0.0000 0.0000 0.5000  8 Ga 3.02
3 Ga 0.2500 0.2500 0.2500  4 Hf 3.02, 4 Ce 3.02

---

It is (w) that is the least stable of them.